# 1
This record from Alexandria via LeMat-Bulk describes crystalline Te2PRu at its relaxed geometry. The functional is PBE.

Summary:
DFT total energy	-5.16	eV/atom
volume	92.6	Å³ per cell
raw formation energy	0.334	eV/f.u.
total magnetization	0.0	μB/f.u.

a b c (Å): 3.017 3.017 10.179
angles (deg): 90.00 90.00 90.00
Space group P4mm (No. 99)
Inequivalent atoms, fractional coordinates:
Te  0.000  0.000  0.000
Te  0.500  0.500  0.364
P  0.000  0.000  0.671
Ru  0.500  0.500  0.787


# 2
This record from Alexandria via LeMat-Bulk describes crystalline TePRu2 at its relaxed geometry. The functional is PBE.

Summary:
DFT total energy	-6.87	eV/atom
volume	136.9	Å³ per cell
raw formation energy	-0.368	eV/f.u.
total magnetization	0.0	μB/f.u.

a b c (Å): 3.089 3.242 13.663
angles (deg): 90.00 90.00 90.00
Space group Imm2 (No. 44)
Inequivalent atoms, fractional coordinates:
Te  0.000  0.000  0.000
P  0.000  0.500  0.250
Ru  0.000  0.000  0.620
Ru  0.000  0.500  0.809


# 3
This record from Alexandria via LeMat-Bulk describes crystalline TeP2Ru at its relaxed geometry. The functional is PBE.

Summary:
DFT total energy	-5.69	eV/atom
volume	366.7	Å³ per cell
raw formation energy	0.480	eV/f.u.
total magnetization	0.0	μB/f.u.

a b c (Å): 6.001 6.001 10.184
angles (deg): 90.00 90.00 90.00
Space group I-42d (No. 122)
Inequivalent atoms, fractional coordinates:
Te  0.000  0.000  0.000
P  0.178  0.250  0.625
Ru  0.000  0.000  0.500


# 4
This record from Alexandria via LeMat-Bulk describes crystalline TePRu2 at its relaxed geometry. The functional is PBE.

Summary:
DFT total energy	-6.54	eV/atom
volume	250.1	Å³ per cell
raw formation energy	0.934	eV/f.u.
total magnetization	0.9	μB/f.u.

a b c (Å): 6.301 6.301 6.301
angles (deg): 90.00 90.00 90.00
Space group Fm-3m (No. 225)
Inequivalent atoms, fractional coordinates:
Te  0.000  0.000  0.000
P  0.000  0.000  0.500
Ru  0.250  0.250  0.250